Record 1
DFT (PBE-GGA) results for LiZrGa after structural relaxation.

Unit cell a=3.8623 b=3.8623 c=7.0322 alpha=90.00 beta=90.00 gamma=90.00
Sites, in units of the cell vectors:
Ga  0.0000  0.0000  0.5000
Ga  0.5000  0.5000  0.5000
Zr  0.0000  0.5000  0.8589
Zr  0.5000  0.0000  0.1411
Li  0.0000  0.5000  0.2732
Li  0.5000  0.0000  0.7268

Summary:
space-group type = P4/nmm (129)
volume = 104.9 Å³/cell
calculated formation energy = -0.061 eV/atom
E above lowest polymorph = 84.2 kJ/mol of formula units
theoretical density = 5.3 g/cm3
electronic total energy = -4.557 eV/atom

=====

Record 2
DFT (PBE-GGA) results for LiZrGa after structural relaxation.

Unit cell a=3.1667 b=4.3914 c=4.3914 alpha=120.00 beta=90.00 gamma=90.00
Sites, in units of the cell vectors:
Ga  0.1661  0.0000  0.0000
Zr  0.6667  0.3333  0.6667
Li  0.1672  0.6667  0.3333

Summary:
space-group type = P-6m2 (187)
volume = 52.9 Å³/cell
calculated formation energy = -0.277 eV/atom
E above lowest polymorph = 21.6 kJ/mol of formula units
theoretical density = 5.3 g/cm3
electronic total energy = -4.774 eV/atom

=====

Record 3
DFT (PBE-GGA) results for LiZrGa after structural relaxation.

Unit cell a=14.6972 b=7.5837 c=7.5837 alpha=143.41 beta=157.98 gamma=22.02
Sites, in units of the cell vectors:
Ga  0.9557  0.8226  0.1774
Ga  0.9557  0.1073  0.8927
Zr  0.4501  0.7914  0.2086
Zr  0.9668  0.4536  0.5464
Li  0.4603  0.4586  0.5414
Li  0.4849  0.1238  0.8762

Summary:
space-group type = Cm (8)
volume = 108.8 Å³/cell
calculated formation energy = -0.213 eV/atom
E above lowest polymorph = 40.2 kJ/mol of formula units
theoretical density = 5.1 g/cm3
electronic total energy = -4.709 eV/atom

=====

Record 4
DFT (PBE-GGA) results for Li3ZrGa after structural relaxation.

Unit cell a=5.2569 b=5.2569 c=5.2569 alpha=90.00 beta=90.00 gamma=90.00
Last column: magnetic moment on the atom in μB.
Sites, in units of the cell vectors:
Ga  0.5000  0.5000  0.5000  0.01
Zr  0.0000  0.0000  0.0000  1.72
Li  0.0000  0.5000  0.0000  0.04
Li  0.0000  0.0000  0.5000  0.03
Li  0.5000  0.0000  0.0000  0.06

Summary:
space-group type = Pm-3m (221)
volume = 145.3 Å³/cell
calculated formation energy = 1.196 eV/atom
E above lowest polymorph = 388.8 kJ/mol of formula units
theoretical density = 2.1 g/cm3
electronic total energy = -2.267 eV/atom

=====

Record 5
DFT (PBE-GGA) results for LiZrGa after structural relaxation.

Unit cell a=5.7630 b=4.3048 c=8.1447 alpha=90.00 beta=90.00 gamma=90.00
Sites, in units of the cell vectors:
Ga  0.9626  0.2500  0.7323
Ga  0.5374  0.7500  0.2323
Ga  0.0374  0.7500  0.2677
Ga  0.4626  0.2500  0.7677
Zr  0.3158  0.2500  0.4259
Zr  0.1842  0.7500  0.9259
Zr  0.6842  0.7500  0.5741
Zr  0.8158  0.2500  0.0741
Li  0.8358  0.2500  0.4064
Li  0.6642  0.7500  0.9064
Li  0.1642  0.7500  0.5936
Li  0.3358  0.2500  0.0936

Summary:
space-group type = Pnma (62)
volume = 202.1 Å³/cell
calculated formation energy = -0.225 eV/atom
E above lowest polymorph = 36.7 kJ/mol of formula units
theoretical density = 5.5 g/cm3
electronic total energy = -4.721 eV/atom

=====

Record 6
DFT (PBE-GGA) results for LuGa3 after structural relaxation.

Unit cell a=4.2188 b=4.2180 c=4.2177 alpha=90.00 beta=90.00 gamma=90.00
Sites, in units of the cell vectors:
Lu  0.5000  0.0000  0.5832
Ga  0.0000  0.0000  0.0833
Ga  0.0000  0.5000  0.5835
Ga  0.5000  0.5000  0.0834

Summary:
space-group type = Pm-3m (221)
volume = 75.1 Å³/cell
calculated formation energy = -0.497 eV/atom
theoretical density = 8.5 g/cm3
electronic total energy = -3.898 eV/atom